Entry 1:
VASP calculation (GGA-PBE) on crystalline InAg14Bi at its relaxed geometry.

a b c (Å): 6.127 6.127 8.097
angles (deg): 90.00 90.00 90.00
Fractional positions:
In (0.375, 0.375, 0.500)
Ag (0.875, 0.875, 0.000)
Ag (0.375, 0.375, 0.000)
Ag (0.875, 0.375, 0.500)
Ag (0.875, 0.375, 0.000)
Ag (0.375, 0.875, 0.500)
Ag (0.375, 0.875, 0.000)
Ag (0.621, 0.129, 0.239)
Ag (0.621, 0.129, 0.761)
Ag (0.129, 0.621, 0.239)
Ag (0.129, 0.621, 0.761)
Ag (0.621, 0.621, 0.239)
Ag (0.621, 0.621, 0.761)
Ag (0.129, 0.129, 0.239)
Ag (0.129, 0.129, 0.761)
Bi (0.875, 0.875, 0.500)

Properties
DFT total energy ... -2.87 eV/atom
Crystal system ... tetragonal
Spin magnetization ... 0.00 μB/f.u.
DOS at the Fermi energy ... 6.9 states/eV/f.u.
Formation enthalpy at 0 K ... 0.0400 eV per atom

---

Entry 2:
VASP calculation (GGA-PBE) on crystalline InAg2Bi at its relaxed geometry.

a b c (Å): 4.571 4.571 10.201
angles (deg): 77.05 77.05 90.00
Fractional positions:
Bi (0.000, 0.000, 0.000)
Bi (0.750, 0.250, 0.500)
Ag (0.593, 0.125, 0.250)
Ag (0.157, 0.625, 0.250)
Ag (0.375, 0.407, 0.750)
Ag (0.875, 0.843, 0.750)
In (0.500, 0.500, 0.000)
In (0.250, 0.750, 0.500)

Properties
DFT total energy ... -2.93 eV/atom
Crystal system ... tetragonal
Spin magnetization ... 0.00 μB/f.u.
DOS at the Fermi energy ... 1.8 states/eV/f.u.
Formation enthalpy at 0 K ... 0.1522 eV per atom